Arrangement P

This record from Alexandria via LeMat-Bulk describes an optimized crystal structure of LiIn2Ir. The functional is PBE.

Lattice parameters (Å, degrees): 8.870 3.155 5.432 90.00 99.99 90.00
Fractional coordinates of all 8 atoms:
Li: 0.000 0.000 0.000
Li: 0.500 0.500 0.000
In: 0.241 0.000 0.738
In: 0.259 0.500 0.262
In: 0.741 0.500 0.738
In: 0.759 0.000 0.262
Ir: 0.000 0.500 0.500
Ir: 0.500 0.000 0.500

As for the density: 9.5 Mg/m³.


Arrangement Q

This record from Alexandria via LeMat-Bulk describes an optimized crystal structure of LiIn2Ir. The functional is PBE.

Lattice parameters (Å, degrees): 3.977 3.988 8.842 90.00 90.00 90.00
Fractional coordinates of all 8 atoms:
Li: 0.000 0.000 0.000
Li: 0.500 0.500 0.500
In: 0.000 0.000 0.500
In: 0.000 0.500 0.750
In: 0.500 0.000 0.250
In: 0.500 0.500 0.000
Ir: 0.000 0.500 0.250
Ir: 0.500 0.000 0.750

As for the density: 10.2 Mg/m³.


Arrangement R

This record from Alexandria via LeMat-Bulk describes an optimized crystal structure of LiIn2Ir. The functional is PBE.

Lattice parameters (Å, degrees): 4.283 4.283 18.233 90.00 90.00 90.00
Fractional coordinates of all 16 atoms:
Li: 0.000 0.000 0.000
Li: 0.000 0.500 0.250
Li: 0.500 0.000 0.750
Li: 0.500 0.500 0.500
In: 0.242 0.250 0.625
In: 0.250 0.742 0.875
In: 0.250 0.758 0.375
In: 0.258 0.250 0.125
In: 0.742 0.750 0.125
In: 0.750 0.242 0.375
In: 0.750 0.258 0.875
In: 0.758 0.750 0.625
Ir: 0.000 0.000 0.500
Ir: 0.000 0.500 0.750
Ir: 0.500 0.000 0.250
Ir: 0.500 0.500 0.000

As for the density: 8.5 Mg/m³.


Which one is the least stable? From the structures above, arrangement R.